Here is a relaxed Y2ThOs9 crystal from Alexandria. Energies are from PBE-GGA.

Lattice parameters (Å, degrees): 5.3505 5.3505 9.2550 73.20 73.20 60.00
Positions (direct):
Os  0.9281  0.4104  0.2512
Os  0.5000  0.5000  0.5000
Os  0.4104  0.9281  0.2512
Os  0.5896  0.5896  0.7488
Os  0.0719  0.5896  0.7488
Os  0.4104  0.4104  0.2512
Os  0.3393  0.3393  0.9822
Os  0.5896  0.0719  0.7488
Os  0.6607  0.6607  0.0178
Y  0.8592  0.8592  0.4223
Y  0.1408  0.1408  0.5777
Th  0.0000  0.0000  0.0000

ΔE_f: -10 kJ per mole of atoms
space-group type: R-3m (166)
spin magnetization: 0.0 μB per cell

Here is a relaxed YTh4Os4 crystal from Alexandria. Energies are from PBE-GGA.

Lattice parameters (Å, degrees): 5.6767 9.0468 9.0468 90.00 90.00 90.00
Positions (direct):
Os  0.5955  0.2171  0.6271
Os  0.0955  0.1271  0.2829
Os  0.9045  0.7171  0.1271
Os  0.0955  0.8729  0.7171
Os  0.4045  0.6271  0.7829
Os  0.9045  0.2829  0.8729
Os  0.4045  0.3729  0.2171
Os  0.5955  0.7829  0.3729
Th  0.0856  0.8126  0.4138
Th  0.9144  0.4138  0.1874
Th  0.4144  0.3126  0.9138
Th  0.9144  0.5862  0.8126
Th  0.5856  0.0862  0.3126
Th  0.4144  0.6874  0.0862
Th  0.5856  0.9138  0.6874
Th  0.0856  0.1874  0.5862
Y  0.0000  0.0000  0.0000
Y  0.5000  0.5000  0.5000

ΔE_f: -20 kJ per mole of atoms
space-group type: P4_2/n (86)
spin magnetization: 0.0 μB per cell

Here is a relaxed YTh2Os crystal from Alexandria. Energies are from PBE-GGA.

Lattice parameters (Å, degrees): 3.6561 3.6561 8.3140 90.00 90.00 90.00
Positions (direct):
Os  0.5000  0.5000  0.0000
Th  0.0000  0.0000  0.1975
Th  0.0000  0.0000  0.8025
Y  0.5000  0.5000  0.5000

ΔE_f: 1 kJ per mole of atoms
space-group type: P4/mmm (123)
spin magnetization: 0.0 μB per cell
energy above the lowest structure with this stoichiometry: 234.0 meV/atom

Here is a relaxed YThOs4 crystal from Alexandria. Energies are from PBE-GGA.

Lattice parameters (Å, degrees): 5.4195 5.4195 5.4195 60.00 60.00 60.00
Positions (direct):
Os  0.6247  0.6247  0.1259
Os  0.1259  0.6247  0.6247
Os  0.6247  0.6247  0.6247
Os  0.6247  0.1259  0.6247
Y  0.2500  0.2500  0.2500
Th  0.0000  0.0000  0.0000

ΔE_f: -24 kJ per mole of atoms
space-group type: F-43m (216)
spin magnetization: 0.0 μB per cell

Here is a relaxed YTh2Os crystal from Alexandria. Energies are from PBE-GGA.

Lattice parameters (Å, degrees): 3.9238 6.1700 9.8544 90.00 90.00 108.54
Positions (direct):
Y  0.0793  0.1575  0.7500
Y  0.9207  0.8425  0.2500
Th  0.3597  0.7180  0.5641
Th  0.6403  0.2820  0.0641
Th  0.6403  0.2820  0.4359
Th  0.3597  0.7180  0.9359
Os  0.2118  0.4246  0.2500
Os  0.7882  0.5754  0.7500

ΔE_f: -20 kJ per mole of atoms
space-group type: P2_1/m (11)
spin magnetization: 0.0 μB per cell
energy above the lowest structure with this stoichiometry: 18.0 meV/atom

Here is a relaxed YTh2Os crystal from Alexandria. Energies are from PBE-GGA.

Lattice parameters (Å, degrees): 3.9269 3.9269 10.5353 79.26 79.26 60.00
Positions (direct):
Th  0.8864  0.8864  0.3409
Th  0.1136  0.1136  0.6591
Os  0.5000  0.5000  0.5000
Y  0.0000  0.0000  0.0000

ΔE_f: 17 kJ per mole of atoms
space-group type: R-3m (166)
spin magnetization: 0.0 μB per cell
energy above the lowest structure with this stoichiometry: 402.0 meV/atom

Here is a relaxed YThOs2 crystal from Alexandria. Energies are from PBE-GGA.

Lattice parameters (Å, degrees): 3.5026 4.9352 4.9352 90.00 90.00 90.00
Positions (direct):
Os  0.0000  0.0000  0.5000
Os  0.0000  0.5000  0.0000
Th  0.5000  0.5000  0.5000
Y  0.5000  0.0000  0.0000

ΔE_f: -15 kJ per mole of atoms
space-group type: P4/mmm (123)
spin magnetization: 0.0 μB per cell
energy above the lowest structure with this stoichiometry: 0.0 meV/atom

Here is a relaxed YTh2Os crystal from Alexandria. Energies are from PBE-GGA.

Lattice parameters (Å, degrees): 6.2910 7.2986 9.8745 90.00 90.00 90.00
Positions (direct):
Th  0.8336  0.3297  0.5623
Th  0.1664  0.6703  0.0623
Th  0.3336  0.1703  0.0623
Th  0.3336  0.1703  0.4377
Th  0.6664  0.8297  0.9377
Th  0.6664  0.8297  0.5623
Th  0.1664  0.6703  0.4377
Th  0.8336  0.3297  0.9377
Y  0.3553  0.4615  0.7500
Y  0.1447  0.9615  0.7500
Y  0.8553  0.0385  0.2500
Y  0.6447  0.5385  0.2500
Os  0.4036  0.8824  0.2500
Os  0.9036  0.6176  0.7500
Os  0.5964  0.1176  0.7500
Os  0.0964  0.3824  0.2500

ΔE_f: -22 kJ per mole of atoms
space-group type: Pnma (62)
spin magnetization: 0.0 μB per cell
energy above the lowest structure with this stoichiometry: 0.0 meV/atom